Record 1
Crystalline ZrPtRh at its relaxed geometry. Source: Alexandria, functional PBE.

Summary:
Space-group type: No. 194
V: 101.6 Å³/cell
Magnetic moment: 0.000 μB per cell
D(E_F): 4.0 states/eV per cell
Calculated formation energy: -881 meV/atom
Total energy: -8.195 eV per atom
Energy above the lowest structure with this stoichiometry: 0.0 meV per atom

abc: 4.592 4.592 5.565
angles: 90.00 90.00 120.00
Atoms (fractional coordinates):
Zr (0.333, 0.667, 0.250)
Zr (0.667, 0.333, 0.750)
Pt (0.000, 0.000, 0.000)
Pt (0.000, 0.000, 0.500)
Rh (0.333, 0.667, 0.750)
Rh (0.667, 0.333, 0.250)

=====

Record 2
Crystalline MgZn2AgSe4 at its relaxed geometry. Source: Alexandria, functional PBE.

Summary:
Space-group type: No. 42
V: 201.8 Å³/cell
Magnetic moment: 0.000 μB per cell
D(E_F): 6.3 states/eV per cell
E_form (uncorrected): -601 meV/atom
Total energy: -3.218 eV per atom

abc: 7.378 7.375 5.719
angles: 67.22 67.16 45.61
Atoms (fractional coordinates):
Mg (0.000, 0.000, 0.000)
Zn (0.250, 0.250, 0.250)
Zn (0.750, 0.750, 0.750)
Ag (0.500, 0.500, 0.500)
Se (0.114, 0.619, 0.381)
Se (0.381, 0.887, 0.619)
Se (0.619, 0.114, 0.886)
Se (0.887, 0.381, 0.113)